A crystal of TlGaBi3 relaxed with PBEsol, computed with SCAN.

a b c (Å): 5.467 5.467 5.467
angles (deg): 90.00 90.00 90.00
Space group Pm-3m (No. 221)
Symmetry-distinct sites (fractional):
Tl1 0.000 0.000 0.000
Ga1 0.500 0.500 0.500
Bi1 0.000 0.500 0.500

Values from the calculation:
- E_form (eV/atom) = 0.400


A crystal of TlGaBi2 relaxed with PBEsol, computed with SCAN.

a b c (Å): 6.605 6.605 13.075
angles (deg): 90.00 90.00 90.00
Space group I-42d (No. 122)
Symmetry-distinct sites (fractional):
Tl1 0.000 0.000 0.000
Ga1 0.000 0.000 0.500
Bi1 0.222 0.250 0.625

Values from the calculation:
- E_form (eV/atom) = 0.063


A crystal of GdBi3 relaxed with PBEsol, computed with SCAN.

a b c (Å): 6.7273 6.7273 5.9621
angles (deg): 90.00 90.00 120.00
Space group P6_3/mmc (No. 194)
Symmetry-distinct sites (fractional):
Gd1 0.3333 0.6667 0.2500
Bi1 0.1715 0.3430 0.7500

Values from the calculation:
- E_form (eV/atom) = -0.379